# Nd4CoCu3 (PBE-GGA, relaxed)
data_Nd4CoCu3
_cell_length_a 3.908
_cell_length_b 4.458
_cell_length_c 10.635
_cell_angle_alpha 90.00
_cell_angle_beta 90.00
_cell_angle_gamma 90.00
_symmetry_space_group_name_H-M 'P m m 2'
_symmetry_Int_Tables_number 25
loop_
_symmetry_equiv_pos_as_xyz
'x,y,z'
'-x,-y,z'
'-x,y,z'
'x,-y,z'
loop_
_atom_site_label
_atom_site_fract_x
_atom_site_fract_y
_atom_site_fract_z
_atom_site_occupancy
Nd1 0.000 0.000 0.000 1
Nd2 0.000 0.500 0.267 1
Nd3 0.500 0.000 0.477 1
Nd4 0.500 0.500 0.771 1
Co1 0.500 0.000 0.201 1
Cu1 0.000 0.000 0.692 1
Cu2 0.000 0.500 0.561 1
Cu3 0.500 0.500 0.064 1
# ΔH_f (0 K) ... -0.145 eV/atom